A plane-wave DFT calculation with GGA-PBE was carried out for a relaxed LiIn2RhBr crystal.

Properties
ρ: 5.133 g cm⁻³
formation energy from raw total energies: 451.4 meV/atom
E: -14.2 eV/cell
spin magnetization: 0.47 μB per cell
space group: P4/mmm, No. 123

Geometry as POSCAR:
```
LiIn2RhBr
1.0
5.659 0.000 0.000
0.000 4.236 0.000
0.000 0.000 5.659
In Li Br Rh
2 1 1 1
Direct
0.500 0.000 0.000
0.000 0.000 0.500
0.000 0.500 0.000
0.000 0.000 0.000
0.500 0.500 0.500
```